(1)
# PBEsol AgAsPb, relaxed
data_AgAsPb
_cell_length_a 4.3973
_cell_length_b 4.3973
_cell_length_c 4.1637
_cell_angle_alpha 90.00
_cell_angle_beta 90.00
_cell_angle_gamma 120.00
_symmetry_space_group_name_H-M 'P -6 m 2'
_symmetry_Int_Tables_number 187
_symmetry_space_group_name_Hall 'P -6 2'
loop_
_atom_site_label
_atom_site_type_symbol
_atom_site_fract_x
_atom_site_fract_y
_atom_site_fract_z
_atom_site_occupancy
Ag1 Ag 0.0000 0.0000 0.0000 1
As1 As 0.6667 0.3333 0.0000 1
Pb1 Pb 0.3333 0.6667 0.5000 1
# * N(E_F): 0.92 states/eV per cell
# * electronic total energy: -12.2 eV for the cell shown
# * size of the total moment: 0.00 μB/f.u.


(2)
# PBEsol CaTcAs2, relaxed
data_CaTcAs2
_cell_length_a 3.9830
_cell_length_b 3.9830
_cell_length_c 17.6601
_cell_angle_alpha 90.00
_cell_angle_beta 90.00
_cell_angle_gamma 120.00
_symmetry_space_group_name_H-M 'R 3 m'
_symmetry_Int_Tables_number 160
_symmetry_space_group_name_Hall 'R 3 -2"'
loop_
_atom_site_label
_atom_site_type_symbol
_atom_site_fract_x
_atom_site_fract_y
_atom_site_fract_z
_atom_site_occupancy
Ca1 Ca 0.0000 0.0000 0.0000 1
Tc1 Tc 0.0000 0.0000 0.1861 1
As1 As 0.0000 0.0000 0.5590 1
As2 As 0.0000 0.0000 0.7754 1
# * N(E_F): 6.62 states/eV per cell
# * electronic total energy: -76.2 eV for the cell shown
# * E above lowest polymorph: 0.00 eV per formula unit
# * size of the total moment: 0.00 μB/f.u.


(3)
# PBEsol NbFe3, relaxed
data_NbFe3
_cell_length_a 5.8269
_cell_length_b 5.8269
_cell_length_c 5.8269
_cell_angle_alpha 90.00
_cell_angle_beta 90.00
_cell_angle_gamma 90.00
_symmetry_space_group_name_H-M 'F m -3 m'
_symmetry_Int_Tables_number 225
_symmetry_space_group_name_Hall '-F 4 2 3'
loop_
_atom_site_label
_atom_site_type_symbol
_atom_site_fract_x
_atom_site_fract_y
_atom_site_fract_z
_atom_site_occupancy
Nb1 Nb 0.0000 0.0000 0.0000 1
Fe1 Fe 0.0000 0.0000 0.5000 1
Fe2 Fe 0.2500 0.2500 0.2500 1
# * N(E_F): 7.15 states/eV per cell
# * electronic total energy: -151.4 eV for the cell shown
# * size of the total moment: 5.09 μB/f.u.


(4)
# PBEsol Ce3Co4Sn13, relaxed
data_Ce3Co4Sn13
_cell_length_a 9.4376
_cell_length_b 9.4376
_cell_length_c 9.4376
_cell_angle_alpha 90.00
_cell_angle_beta 90.00
_cell_angle_gamma 90.00
_symmetry_space_group_name_H-M 'P m -3 n'
_symmetry_Int_Tables_number 223
_symmetry_space_group_name_Hall '-P 4n 2 3'
loop_
_atom_site_label
_atom_site_type_symbol
_atom_site_fract_x
_atom_site_fract_y
_atom_site_fract_z
_atom_site_occupancy
Ce1 Ce 0.0000 0.2500 0.5000 1
Co1 Co 0.2500 0.2500 0.2500 1
Sn1 Sn 0.0000 0.0000 0.0000 1
Sn2 Sn 0.0000 0.3039 0.1568 1
# * N(E_F): 39.29 states/eV per cell
# * electronic total energy: -228.0 eV for the cell shown
# * size of the total moment: 1.32 μB/f.u.


(5)
# PBEsol InPtAu2, relaxed
data_InPtAu2
_cell_length_a 3.9678
_cell_length_b 3.9678
_cell_length_c 8.7088
_cell_angle_alpha 90.00
_cell_angle_beta 90.00
_cell_angle_gamma 90.00
_symmetry_space_group_name_H-M 'I 4/m m m'
_symmetry_Int_Tables_number 139
_symmetry_space_group_name_Hall '-I 4 2'
loop_
_atom_site_label
_atom_site_type_symbol
_atom_site_fract_x
_atom_site_fract_y
_atom_site_fract_z
_atom_site_occupancy
In1 In 0.0000 0.0000 0.0000 1
Pt1 Pt 0.0000 0.0000 0.5000 1
Au1 Au 0.0000 0.5000 0.2500 1
# * N(E_F): 3.04 states/eV per cell
# * electronic total energy: -37.0 eV for the cell shown
# * size of the total moment: 0.00 μB/f.u.


(6)
# PBEsol BaCo2Re, relaxed
data_BaCo2Re
_cell_length_a 4.0852
_cell_length_b 4.0852
_cell_length_c 17.0574
_cell_angle_alpha 90.00
_cell_angle_beta 90.00
_cell_angle_gamma 120.00
_symmetry_space_group_name_H-M 'R -3 m'
_symmetry_Int_Tables_number 166
_symmetry_space_group_name_Hall '-R 3 2"'
loop_
_atom_site_label
_atom_site_type_symbol
_atom_site_fract_x
_atom_site_fract_y
_atom_site_fract_z
_atom_site_occupancy
Ba1 Ba 0.0000 0.0000 0.0000 1
Co1 Co 0.0000 0.0000 0.1879 1
Re1 Re 0.0000 0.0000 0.5000 1
# * N(E_F): 17.14 states/eV per cell
# * electronic total energy: -88.1 eV for the cell shown
# * E above lowest polymorph: 0.00 eV per formula unit
# * size of the total moment: 1.04 μB/f.u.


(7)
# PBEsol NdMgNi4, relaxed
data_NdMgNi4
_cell_length_a 6.9642
_cell_length_b 6.9642
_cell_length_c 6.9642
_cell_angle_alpha 90.00
_cell_angle_beta 90.00
_cell_angle_gamma 90.00
_symmetry_space_group_name_H-M 'F -4 3 m'
_symmetry_Int_Tables_number 216
_symmetry_space_group_name_Hall 'F -4 2 3'
loop_
_atom_site_label
_atom_site_type_symbol
_atom_site_fract_x
_atom_site_fract_y
_atom_site_fract_z
_atom_site_occupancy
Nd1 Nd 0.0000 0.0000 0.0000 1
Mg1 Mg 0.2500 0.2500 0.2500 1
Ni1 Ni 0.1236 0.1236 0.6236 1
# * N(E_F): 26.40 states/eV per cell
# * electronic total energy: -133.8 eV for the cell shown
# * size of the total moment: 0.00 μB/f.u.


(8)
# PBEsol CaBeSiMo2, relaxed
data_CaBeSiMo2
_cell_length_a 4.6053
_cell_length_b 4.6053
_cell_length_c 4.2655
_cell_angle_alpha 90.00
_cell_angle_beta 90.00
_cell_angle_gamma 90.00
_symmetry_space_group_name_H-M 'P 4/m m m'
_symmetry_Int_Tables_number 123
_symmetry_space_group_name_Hall '-P 4 2'
loop_
_atom_site_label
_atom_site_type_symbol
_atom_site_fract_x
_atom_site_fract_y
_atom_site_fract_z
_atom_site_occupancy
Ca1 Ca 0.0000 0.0000 0.0000 1
Be1 Be 0.5000 0.5000 0.0000 1
Si1 Si 0.5000 0.5000 0.5000 1
Mo1 Mo 0.0000 0.5000 0.5000 1
# * N(E_F): 3.52 states/eV per cell
# * electronic total energy: -31.5 eV for the cell shown
# * size of the total moment: 0.00 μB/f.u.
# * ΔE_f (raw): 787.5 meV per atom


(9)
# PBEsol SrAlPbBr2, relaxed
data_SrAlPbBr2
_cell_length_a 5.5897
_cell_length_b 5.5897
_cell_length_c 6.7023
_cell_angle_alpha 90.00
_cell_angle_beta 90.00
_cell_angle_gamma 90.00
_symmetry_space_group_name_H-M 'P 4/m m m'
_symmetry_Int_Tables_number 123
_symmetry_space_group_name_Hall '-P 4 2'
loop_
_atom_site_label
_atom_site_type_symbol
_atom_site_fract_x
_atom_site_fract_y
_atom_site_fract_z
_atom_site_occupancy
Sr1 Sr 0.0000 0.0000 0.0000 1
Al1 Al 0.5000 0.5000 0.5000 1
Pb1 Pb 0.0000 0.0000 0.5000 1
Br1 Br 0.0000 0.5000 0.0000 1
# * N(E_F): 4.10 states/eV per cell
# * electronic total energy: -14.8 eV for the cell shown
# * size of the total moment: 0.00 μB/f.u.
# * ΔE_f (raw): -231.4 meV per atom


(10)
# PBEsol NiSnF3, relaxed
data_NiSnF3
_cell_length_a 4.4102
_cell_length_b 4.4102
_cell_length_c 4.4102
_cell_angle_alpha 90.00
_cell_angle_beta 90.00
_cell_angle_gamma 90.00
_symmetry_space_group_name_H-M 'P m -3 m'
_symmetry_Int_Tables_number 221
_symmetry_space_group_name_Hall '-P 4 2 3'
loop_
_atom_site_label
_atom_site_type_symbol
_atom_site_fract_x
_atom_site_fract_y
_atom_site_fract_z
_atom_site_occupancy
Ni1 Ni 0.0000 0.0000 0.0000 1
Sn1 Sn 0.5000 0.5000 0.5000 1
F1 F 0.0000 0.5000 0.5000 1
# * N(E_F): 13.66 states/eV per cell
# * electronic total energy: -21.0 eV for the cell shown
# * size of the total moment: 0.81 μB/f.u.
# * ΔE_f (raw): -955.0 meV per atom


(11)
# PBEsol La5Ru, relaxed
data_La5Ru
_cell_length_a 5.9182
_cell_length_b 5.9182
_cell_length_c 5.9281
_cell_angle_alpha 90.00
_cell_angle_beta 90.00
_cell_angle_gamma 120.00
_symmetry_space_group_name_H-M 'P 6/m m m'
_symmetry_Int_Tables_number 191
_symmetry_space_group_name_Hall '-P 6 2'
loop_
_atom_site_label
_atom_site_type_symbol
_atom_site_fract_x
_atom_site_fract_y
_atom_site_fract_z
_atom_site_occupancy
La1 La 0.0000 0.5000 0.0000 1
La2 La 0.3333 0.6667 0.5000 1
Ru1 Ru 0.0000 0.0000 0.5000 1
# * N(E_F): 12.01 states/eV per cell
# * electronic total energy: -31.7 eV for the cell shown
# * E above lowest polymorph: 5.59 eV per formula unit
# * size of the total moment: 0.00 μB/f.u.


(12)
# PBEsol La2MgRhO6, relaxed
data_La2MgRhO6
_cell_length_a 5.5238
_cell_length_b 5.5930
_cell_length_c 9.5782
_cell_angle_alpha 90.00
_cell_angle_beta 125.14
_cell_angle_gamma 90.00
_symmetry_space_group_name_H-M 'P 1 21/c 1'
_symmetry_Int_Tables_number 14
_symmetry_space_group_name_Hall '-P 2ybc'
loop_
_atom_site_label
_atom_site_type_symbol
_atom_site_fract_x
_atom_site_fract_y
_atom_site_fract_z
_atom_site_occupancy
La1 La 0.2412 0.0437 0.2503 1
Mg1 Mg 0.5000 0.0000 0.0000 1
Rh1 Rh 0.0000 0.0000 0.5000 1
O1 O 0.1605 0.2137 0.9561 1
O2 O 0.2433 0.7067 0.9564 1
O3 O 0.3279 0.0181 0.7467 1
# * N(E_F): 13.22 states/eV per cell
# * electronic total energy: -155.8 eV for the cell shown
# * size of the total moment: 1.03 μB/f.u.
# * ΔE_f (raw): -2587.8 meV per atom


Repeat the twelfth record exactly.
# PBEsol La2MgRhO6, relaxed
data_La2MgRhO6
_cell_length_a 5.5238
_cell_length_b 5.5930
_cell_length_c 9.5782
_cell_angle_alpha 90.00
_cell_angle_beta 125.14
_cell_angle_gamma 90.00
_symmetry_space_group_name_H-M 'P 1 21/c 1'
_symmetry_Int_Tables_number 14
_symmetry_space_group_name_Hall '-P 2ybc'
loop_
_atom_site_label
_atom_site_type_symbol
_atom_site_fract_x
_atom_site_fract_y
_atom_site_fract_z
_atom_site_occupancy
La1 La 0.2412 0.0437 0.2503 1
Mg1 Mg 0.5000 0.0000 0.0000 1
Rh1 Rh 0.0000 0.0000 0.5000 1
O1 O 0.1605 0.2137 0.9561 1
O2 O 0.2433 0.7067 0.9564 1
O3 O 0.3279 0.0181 0.7467 1
# * N(E_F): 13.22 states/eV per cell
# * electronic total energy: -155.8 eV for the cell shown
# * size of the total moment: 1.03 μB/f.u.
# * ΔE_f (raw): -2587.8 meV per atom